[1]
GaMoPCl2 | PBE | relaxed

Cell and atoms, written as CIF:
```
data_GaMoPCl2
_chemical_formula_sum 'Ga1 Mo1 P1 Cl2'
_cell_length_a 5.036
_cell_length_b 5.036
_cell_length_c 4.706
_cell_angle_alpha 90.00
_cell_angle_beta 90.00
_cell_angle_gamma 90.00
_symmetry_space_group_name_H-M 'P 4/m m m'
_symmetry_Int_Tables_number 123
_symmetry_space_group_name_Hall '-P 4 2'
loop_
_atom_site_label
_atom_site_fract_x
_atom_site_fract_y
_atom_site_fract_z
Ga1 0.000 0.000 0.000
Mo1 0.500 0.500 0.500
P1 0.500 0.500 0.000
Cl1 0.000 0.500 0.500
```

Values from the calculation:
The value obtained for the uncorrected formation energy is -0.05 eV/atom. The total energy comes out at -23.235 eV for the cell shown. As for the energy above the most stable polymorph in this dataset: 0 meV per atom.

---

[2]
Pr2Sm6Pu | PBE | relaxed

Cell and atoms, written as CIF:
```
data_Pr2Sm6Pu
_chemical_formula_sum 'Pr8 Sm24 Pu4'
_cell_length_a 28.091
_cell_length_b 6.372
_cell_length_c 6.876
_cell_angle_alpha 90.00
_cell_angle_beta 97.21
_cell_angle_gamma 90.00
_symmetry_space_group_name_H-M 'C 1 2/c 1'
_symmetry_Int_Tables_number 15
loop_
_symmetry_equiv_pos_as_xyz
'x,y,z'
'-x,-y,-z'
'-x,y,-z+1/2'
'x,-y,z+1/2'
'x+1/2,y+1/2,z'
'-x+1/2,-y+1/2,-z'
'-x+1/2,y+1/2,-z+1/2'
'x+1/2,-y+1/2,z+1/2'
loop_
_atom_site_label
_atom_site_fract_x
_atom_site_fract_y
_atom_site_fract_z
Pr1 0.221 0.086 0.304
Sm1 0.054 0.411 0.129
Sm2 0.106 0.087 0.526
Sm3 0.165 0.417 0.912
Pu1 0.000 0.073 0.750
```

Values from the calculation:
The total energy comes out at -206.261 eV for the cell shown.

---

[3]
LiMgGa | PBE | relaxed

Cell and atoms, written as CIF:
```
data_LiMgGa
_chemical_formula_sum 'Li2 Mg2 Ga2'
_cell_length_a 4.5810
_cell_length_b 4.5810
_cell_length_c 6.0796
_cell_angle_alpha 90.00
_cell_angle_beta 90.00
_cell_angle_gamma 120.00
_symmetry_space_group_name_H-M 'P -3 m 1'
_symmetry_Int_Tables_number 164
_symmetry_space_group_name_Hall '-P 3 2"'
loop_
_atom_site_label
_atom_site_fract_x
_atom_site_fract_y
_atom_site_fract_z
Li1 0.3333 0.6667 0.4011
Mg1 0.3333 0.6667 0.8853
Ga1 0.0000 0.0000 0.2755
```

Values from the calculation:
The total energy comes out at -14.157 eV for the cell shown. As for the energy above the most stable polymorph in this dataset: 33 meV per atom.

---

[4]
TcPd3Rh | PBE | relaxed

Cell and atoms, written as CIF:
```
data_TcPd3Rh
_chemical_formula_sum 'Tc1 Pd3 Rh1'
_cell_length_a 4.690
_cell_length_b 4.690
_cell_length_c 4.690
_cell_angle_alpha 90.00
_cell_angle_beta 90.00
_cell_angle_gamma 90.00
_symmetry_space_group_name_H-M 'P m -3 m'
_symmetry_Int_Tables_number 221
_symmetry_space_group_name_Hall '-P 4 2 3'
loop_
_atom_site_label
_atom_site_fract_x
_atom_site_fract_y
_atom_site_fract_z
Tc1 0.000 0.000 0.000
Pd1 0.000 0.000 0.500
Rh1 0.500 0.500 0.500
```

Values from the calculation:
The total energy comes out at -25.998 eV for the cell shown. As for the energy above the most stable polymorph in this dataset: 0 meV per atom.

---

[5]
PtAu2Se | PBE | relaxed

Cell and atoms, written as CIF:
```
data_PtAu2Se
_chemical_formula_sum 'Pt4 Au8 Se4'
_cell_length_a 7.538
_cell_length_b 7.538
_cell_length_c 5.391
_cell_angle_alpha 90.00
_cell_angle_beta 90.00
_cell_angle_gamma 90.00
_symmetry_space_group_name_H-M 'I -4 2 d'
_symmetry_Int_Tables_number 122
_symmetry_space_group_name_Hall 'I -4 2bw'
loop_
_atom_site_label
_atom_site_fract_x
_atom_site_fract_y
_atom_site_fract_z
Pt1 0.000 0.000 0.000
Au1 0.245 0.750 0.625
Se1 0.000 0.000 0.500
```

Values from the calculation:
The value obtained for the uncorrected formation energy is 0.23 eV/atom. The total energy comes out at -60.706 eV for the cell shown.

---

[6]
Sc3TcO | PBE | relaxed

Cell and atoms, written as CIF:
```
data_Sc3TcO
_chemical_formula_sum 'Sc12 Tc4 O4'
_cell_length_a 6.436
_cell_length_b 8.805
_cell_length_c 6.124
_cell_angle_alpha 90.00
_cell_angle_beta 105.78
_cell_angle_gamma 90.00
_symmetry_space_group_name_H-M 'C 1 2/m 1'
_symmetry_Int_Tables_number 12
loop_
_symmetry_equiv_pos_as_xyz
'x,y,z'
'-x,-y,-z'
'-x,y,-z'
'x,-y,z'
'x+1/2,y+1/2,z'
'-x+1/2,-y+1/2,-z'
'-x+1/2,y+1/2,-z'
'x+1/2,-y+1/2,z'
loop_
_atom_site_label
_atom_site_fract_x
_atom_site_fract_y
_atom_site_fract_z
Sc1 0.000 0.000 0.000
Sc2 0.000 0.500 0.000
Sc3 0.178 0.242 0.730
Tc1 0.192 0.500 0.505
O1 0.000 0.250 0.000
```

Values from the calculation:
The value obtained for the uncorrected formation energy is -1.26 eV/atom. The total energy comes out at -162.571 eV for the cell shown. As for the energy above the most stable polymorph in this dataset: 58 meV per atom.